Entry 1:
Compound: Sc3Ag4Hg2
Source: the Alexandria database
Functional: PBE
Structure: relaxed

```
18
Lattice="6.8142 -5.3524 0.0000 6.8142 5.3524 0.0000 -0.9030 0.0000 5.0244" Properties=species:S:1:pos:R:3 pbc="T T T"
Sc 6.1370 3.9615 3.7683
Sc 3.7242 1.3063 4.6151
Sc 4.1757 -1.3063 2.1029
Sc 8.5497 1.3063 2.9215
Sc 9.0012 -1.3063 0.4093
Sc 6.5885 -3.9615 1.2561
Ag 2.7409 1.3703 1.8313
Ag 5.6300 1.2682 2.3932
Ag 2.2894 -1.3703 4.3435
Ag 7.5470 1.2682 0.1191
Ag 5.1785 -1.2682 4.9054
Ag 10.4360 1.3703 0.6809
Ag 7.0954 -1.2682 2.6313
Ag 9.9845 -1.3703 3.1931
Hg 5.0921 3.9686 0.9583
Hg 8.0849 3.9686 1.5539
Hg 4.6406 -3.9686 3.4706
Hg 7.6333 -3.9686 4.0661
```

Formation enthalpy at 0 K (meV/atom): -225
Density of states at the Fermi level (states/eV per cell): 10.9



Entry 2:
Compound: LaPmNd4
Source: the Alexandria database
Functional: PBE
Structure: relaxed

```
6
Lattice="2.6163 -7.8343 0.0000 2.6163 7.8343 0.0000 0.0000 0.0000 5.2095" Properties=species:S:1:pos:R:3 pbc="T T T"
La 0.0000 0.0000 0.0000
Pm 2.6163 0.0000 2.6047
Nd 2.6163 5.2189 2.6047
Nd 2.6163 2.6246 0.0000
Nd 2.6163 -2.6246 0.0000
Nd 2.6163 -5.2189 2.6047
```

Polymorph energy (0 for the lowest one) (meV/atom): 0
Formation enthalpy at 0 K (meV/atom): 17
Density of states at the Fermi level (states/eV per cell): 10.3



Entry 3:
Compound: LaSn3I
Source: the Alexandria database
Functional: PBE
Structure: relaxed

```
5
Lattice="5.7647 0.0000 0.0000 0.0000 5.7647 0.0000 0.0000 0.0000 5.7647" Properties=species:S:1:pos:R:3 pbc="T T T"
La 0.0000 0.0000 0.0000
Sn 0.0000 2.8823 2.8823
Sn 2.8823 0.0000 2.8823
Sn 2.8823 2.8823 0.0000
I 2.8823 2.8823 2.8823
```

Polymorph energy (0 for the lowest one) (meV/atom): 0
Density of states at the Fermi level (states/eV per cell): 6.3
Raw formation energy (meV per atom): 440



Entry 4:
Compound: CuHgAu2
Source: the Alexandria database
Functional: PBE
Structure: relaxed

```
4
Lattice="-1.6162 2.3228 4.7258 1.6162 -2.3228 4.7258 1.6162 2.3228 -4.7258" Properties=species:S:1:pos:R:3 pbc="T T T"
Cu 0.0000 0.0000 0.0000
Hg 0.0000 0.0000 4.7258
Au 1.6162 0.0000 2.1197
Au 0.0000 2.3228 2.6061
```

Formation enthalpy at 0 K (meV/atom): 69
Density of states at the Fermi level (states/eV per cell): 0.9



no.,energy (eV/atom)
1,-3.67
2,-4.77
3,-3.26
4,-2.67